# 1
The following is a PBE calculation of a geometry-optimized PaVTc2 structure, from the Alexandria database.

Values from the calculation:
**M_tot**: 0.000 μB per atom
**SG**: R-3m (166)
**Offset from the most stable computed form**: 289 meV/atom
**ΔH_f (0 K)**: 62 kJ/mol of formula units

```
PaVTc2
1.0
-2.0138 1.6962 1.3703
-1.5084 -1.0695 2.3219
5.0970 3.2363 6.6992
Tc Pa V
2 1 1
direct
0.7370 0.7370 0.7890 Tc
0.2630 0.2630 0.2110 Tc
0.5000 0.5000 0.5000 Pa
0.0000 0.0000 0.0000 V
```



# 2
The following is a PBE calculation of a geometry-optimized PrCdGaPd3 structure, from the Alexandria database.

Values from the calculation:
**M_tot**: 0.000 μB per atom
**SG**: Cmcm (63)
**ΔH_f (0 K)**: -263 kJ/mol of formula units

```
PrCdGaPd3
1.0
5.8223 0.0000 0.0000
0.0000 7.0738 0.0000
0.0000 -3.5369 6.1827
Pd Cd Pr Ga
6 2 2 2
direct
0.0000 0.6964 0.0000 Pd
0.5000 0.6964 0.0000 Pd
0.7500 0.8282 0.6564 Pd
0.0000 0.3036 0.0000 Pd
0.5000 0.3036 0.0000 Pd
0.2500 0.1718 0.3436 Pd
0.2500 0.9437 0.8874 Cd
0.7500 0.0563 0.1126 Cd
0.2500 0.6933 0.3866 Pr
0.7500 0.3067 0.6134 Pr
0.2500 0.3724 0.7448 Ga
0.7500 0.6276 0.2552 Ga
```



# 3
The following is a PBE calculation of a geometry-optimized LaCuAg structure, from the Alexandria database.

Values from the calculation:
**M_tot**: 0.000 μB per atom
**SG**: F-43m (216)
**Offset from the most stable computed form**: 527 meV/atom
**ΔH_f (0 K)**: 83 kJ/mol of formula units

```
LaCuAg
1.0
4.9681 0.0000 0.0000
2.4840 4.3025 0.0000
2.4840 1.4342 4.0564
Cu Ag La
1 1 1
direct
0.5000 0.5000 0.5000 Cu
0.0000 0.0000 0.0000 Ag
0.7500 0.7500 0.7500 La
```



# 4
The following is a PBE calculation of a geometry-optimized Tl5AgBr8 structure, from the Alexandria database.

Values from the calculation:
**M_tot**: 0.000 μB per atom
**SG**: F-43m (216)
**Final energy**: -37.231 eV/cell

```
Tl5AgBr8
1.0
9.2364 0.0000 0.0000
4.6182 7.9990 0.0000
4.6182 2.6663 7.5415
Tl Br Ag
5 8 1
direct
0.0000 0.0000 0.0000 Tl
0.6191 0.1428 0.6191 Tl
0.1428 0.6191 0.6191 Tl
0.6191 0.6191 0.1428 Tl
0.6191 0.6191 0.6191 Tl
0.3504 0.8832 0.8832 Br
0.3726 0.8823 0.3726 Br
0.8832 0.3504 0.8832 Br
0.3726 0.3726 0.3726 Br
0.8832 0.8832 0.3504 Br
0.8823 0.3726 0.3726 Br
0.3726 0.3726 0.8823 Br
0.8832 0.8832 0.8832 Br
0.2500 0.2500 0.2500 Ag
```



# 5
The following is a PBE calculation of a geometry-optimized SmCS structure, from the Alexandria database.

Values from the calculation:
**M_tot**: 0.000 μB per atom
**SG**: C2/m (12)
**Offset from the most stable computed form**: 669 meV/atom

```
SmCS
1.0
2.8873 0.0000 0.0000
-1.4437 4.5794 -0.9192
0.0000 -2.2280 8.7494
Sm C S
2 2 2
direct
0.0000 0.0000 0.5000 Sm
0.0000 0.0000 0.0000 Sm
0.2716 0.5431 0.4994 C
0.7284 0.4569 0.5006 C
0.3648 0.7297 0.1863 S
0.6352 0.2703 0.8137 S
```



# 6
The following is a PBE calculation of a geometry-optimized FeCuPtN2 structure, from the Alexandria database.

Values from the calculation:
**M_tot**: 0.000 μB per atom
**SG**: P4/mmm (123)
**Final energy**: -30.418 eV/cell

```
FeCuPtN2
1.0
-1.3600 -3.1801 -0.6338
0.6257 -1.2704 5.0317
-3.2152 1.2333 0.7112
N Pt Fe Cu
2 1 1 1
direct
0.0000 0.0000 0.5000 N
0.5000 0.0000 0.0000 N
0.0000 0.5000 0.0000 Pt
0.0000 0.0000 0.0000 Fe
0.5000 0.5000 0.5000 Cu
```